(1)
4
Lattice="3.0393 0.0000 0.0000 0.0000 3.0393 0.0000 0.0000 0.0000 11.6799" Properties=species:S:1:pos:R:3 comment="KHgSe2, optimized geometry, DFT PBE" energy_ev_per_cell=-8.42 pbc="T T T"
K 0.0000 0.0000 0.0000
Hg 1.5196 1.5196 8.8802
Se 0.0000 0.0000 6.3450
Se 1.5196 1.5196 2.4143

***

(2)
8
Lattice="6.0211 0.0000 0.0000 0.0000 6.0211 0.0000 0.0000 0.0000 12.2454" Properties=species:S:1:pos:R:3 comment="K2HgSe, optimized geometry, DFT PBE" energy_ev_per_cell=-13.40 pbc="T T T"
K 0.0000 0.0000 2.9165
K 0.0000 0.0000 9.3289
K 3.0106 3.0106 3.2062
K 3.0106 3.0106 9.0392
Hg 0.0000 0.0000 6.1227
Hg 3.0106 3.0106 0.0000
Se 0.0000 0.0000 0.0000
Se 3.0106 3.0106 6.1227

***

(3)
4
Lattice="3.8959 0.0000 0.0000 0.0000 3.8959 0.0000 0.0000 0.0000 7.6029" Properties=species:S:1:pos:R:3 comment="KHg2Se, optimized geometry, DFT PBE" energy_ev_per_cell=-6.41 pbc="T T T"
K 0.0000 0.0000 0.0000
Hg 0.0000 0.0000 3.4433
Hg 1.9480 1.9480 5.2089
Se 1.9480 1.9480 2.0469

***

(4)
4
Lattice="3.7201 0.0000 0.0000 0.0000 5.2124 0.0000 -0.0493 0.0000 6.6840" Properties=species:S:1:pos:R:3 comment="KHgSe2, optimized geometry, DFT PBE" energy_ev_per_cell=-10.04 pbc="T T T"
K 0.0000 0.0000 0.0000
Hg 1.8354 0.0000 3.3420
Se 1.8095 2.6062 5.5169
Se 1.8612 2.6062 1.1671